Record 1
A plane-wave DFT calculation with GGA-PBE was carried out for crystalline DyAs2 at its relaxed geometry.

```
data_DyAs2
_chemical_formula_sum 'Dy2 As4'
_space_group_name_H-M_alt 'C 1 2/m 1'
_space_group_IT_number 12
_cell_length_a 5.507
_cell_length_b 5.496
_cell_length_c 4.988
_cell_angle_alpha 90.00
_cell_angle_beta 115.76
_cell_angle_gamma 90.00
loop_
_space_group_symop_operation_xyz
'x,y,z'
'-x,-y,-z'
'-x,y,-z'
'x,-y,z'
'x+1/2,y+1/2,z'
'-x+1/2,-y+1/2,-z'
'-x+1/2,y+1/2,-z'
'x+1/2,-y+1/2,z'
loop_
_atom_site_label
_atom_site_type_symbol
_atom_site_fract_x
_atom_site_fract_y
_atom_site_fract_z
_atom_site_occupancy
Dy1 Dy 0.000 0.000 0.000 1
As1 As 0.096 0.500 0.286 1
```

Summary:
The calculation puts the calculated formation energy at -0.769 eV per atom. The density of states at the Fermi level comes out at 0.53 states/eV per atom. The value obtained for the density is 7.628 Mg/m³.

Record 2
A plane-wave DFT calculation with GGA-PBE was carried out for crystalline BaSrAg2 at its relaxed geometry.

```
data_BaSrAg2
_chemical_formula_sum 'Ba2 Sr2 Ag4'
_space_group_name_H-M_alt 'C 1 2/m 1'
_space_group_IT_number 12
_cell_length_a 8.202
_cell_length_b 4.785
_cell_length_c 8.220
_cell_angle_alpha 90.00
_cell_angle_beta 109.87
_cell_angle_gamma 90.00
loop_
_space_group_symop_operation_xyz
'x,y,z'
'-x,-y,-z'
'-x,y,-z'
'x,-y,z'
'x+1/2,y+1/2,z'
'-x+1/2,-y+1/2,-z'
'-x+1/2,y+1/2,-z'
'x+1/2,-y+1/2,z'
loop_
_atom_site_label
_atom_site_type_symbol
_atom_site_fract_x
_atom_site_fract_y
_atom_site_fract_z
_atom_site_occupancy
Ba1 Ba 0.000 0.000 0.000 1
Sr1 Sr 0.000 0.500 0.500 1
Ag1 Ag 0.244 0.000 0.733 1
```

Summary:
The calculation puts the calculated formation energy at -0.163 eV per atom. The calculation puts the energy above the most stable polymorph in this dataset at 121 meV/atom. The density of states at the Fermi level comes out at 0.76 states/eV per atom. The value obtained for the density is 4.823 Mg/m³.

Record 3
A plane-wave DFT calculation with GGA-PBE was carried out for crystalline EuDyMgAl at its relaxed geometry.

```
data_EuDyMgAl
_chemical_formula_sum 'Eu4 Dy4 Mg4 Al4'
_space_group_name_H-M_alt 'F -4 3 m'
_space_group_IT_number 216
_space_group_name_Hall 'F -4 2 3'
_cell_length_a 7.540
_cell_length_b 7.540
_cell_length_c 7.540
_cell_angle_alpha 90.00
_cell_angle_beta 90.00
_cell_angle_gamma 90.00
loop_
_atom_site_label
_atom_site_type_symbol
_atom_site_fract_x
_atom_site_fract_y
_atom_site_fract_z
_atom_site_occupancy
Eu1 Eu 0.000 0.000 0.000 1
Dy1 Dy 0.000 0.000 0.500 1
Mg1 Mg 0.250 0.250 0.750 1
Al1 Al 0.250 0.250 0.250 1
```

Summary:
The calculation puts the calculated formation energy at -0.189 eV per atom. The density of states at the Fermi level comes out at 1.37 states/eV per atom. The value obtained for the density is 5.667 Mg/m³.

Record 4
A plane-wave DFT calculation with GGA-PBE was carried out for crystalline ScB2Rh2 at its relaxed geometry.

```
data_ScB2Rh2
_chemical_formula_sum 'Sc2 B4 Rh4'
_space_group_name_H-M_alt 'P 4/m b m'
_space_group_IT_number 127
_space_group_name_Hall '-P 4 2ab'
_cell_length_a 6.320
_cell_length_b 6.320
_cell_length_c 2.964
_cell_angle_alpha 90.00
_cell_angle_beta 90.00
_cell_angle_gamma 90.00
loop_
_atom_site_label
_atom_site_type_symbol
_atom_site_fract_x
_atom_site_fract_y
_atom_site_fract_z
_atom_site_occupancy
Sc1 Sc 0.000 0.000 0.000 1
B1 B 0.094 0.406 0.000 1
Rh1 Rh 0.213 0.713 0.500 1
```

Summary:
The calculation puts the calculated formation energy at -0.400 eV per atom. The density of states at the Fermi level comes out at 0.39 states/eV per atom. The value obtained for the density is 7.643 Mg/m³.

Record 5
A plane-wave DFT calculation with GGA-PBE was carried out for crystalline TbNdTmPu at its relaxed geometry.

```
data_TbNdTmPu
_chemical_formula_sum 'Tb4 Nd4 Tm4 Pu4'
_space_group_name_H-M_alt 'F -4 3 m'
_space_group_IT_number 216
_space_group_name_Hall 'F -4 2 3'
_cell_length_a 7.947
_cell_length_b 7.947
_cell_length_c 7.947
_cell_angle_alpha 90.00
_cell_angle_beta 90.00
_cell_angle_gamma 90.00
loop_
_atom_site_label
_atom_site_type_symbol
_atom_site_fract_x
_atom_site_fract_y
_atom_site_fract_z
_atom_site_occupancy
Tb1 Tb 0.000 0.000 0.000 1
Nd1 Nd 0.000 0.000 0.500 1
Tm1 Tm 0.250 0.250 0.750 1
Pu1 Pu 0.250 0.250 0.250 1
```

Summary:
The calculation puts the calculated formation energy at 0.205 eV per atom. The density of states at the Fermi level comes out at 2.93 states/eV per atom. The value obtained for the density is 9.476 Mg/m³.

Record 6
A plane-wave DFT calculation with GGA-PBE was carried out for crystalline YInFe2Co at its relaxed geometry.

```
data_YInFe2Co
_chemical_formula_sum 'Y1 In1 Fe2 Co1'
_space_group_name_H-M_alt 'P 4/m m m'
_space_group_IT_number 123
_space_group_name_Hall '-P 4 2'
_cell_length_a 4.485
_cell_length_b 4.485
_cell_length_c 5.566
_cell_angle_alpha 90.00
_cell_angle_beta 90.00
_cell_angle_gamma 90.00
loop_
_atom_site_label
_atom_site_type_symbol
_atom_site_fract_x
_atom_site_fract_y
_atom_site_fract_z
_atom_site_occupancy
Y1 Y 0.000 0.000 0.000 1
In1 In 0.000 0.000 0.500 1
Fe1 Fe 0.000 0.500 0.000 1
Co1 Co 0.500 0.500 0.500 1
```

Summary:
The calculation puts the calculated formation energy at 2.216 eV per atom. The density of states at the Fermi level comes out at 2.19 states/eV per atom. The value obtained for the density is 5.552 Mg/m³.

Record 7
A plane-wave DFT calculation with GGA-PBE was carried out for crystalline La2PrSi2 at its relaxed geometry.

```
data_La2PrSi2
_chemical_formula_sum 'La4 Pr2 Si4'
_space_group_name_H-M_alt 'P 4/m b m'
_space_group_IT_number 127
_space_group_name_Hall '-P 4 2ab'
_cell_length_a 7.884
_cell_length_b 7.884
_cell_length_c 4.458
_cell_angle_alpha 90.00
_cell_angle_beta 90.00
_cell_angle_gamma 90.00
loop_
_atom_site_label
_atom_site_type_symbol
_atom_site_fract_x
_atom_site_fract_y
_atom_site_fract_z
_atom_site_occupancy
La1 La 0.177 0.323 0.000 1
Pr1 Pr 0.000 0.000 0.500 1
Si1 Si 0.110 0.610 0.500 1
```

Summary:
The density of states at the Fermi level comes out at 1.11 states/eV per atom. The value obtained for the density is 5.691 Mg/m³. The value obtained for the raw formation energy is -61.2 kJ per mole of atoms.

Record 8
A plane-wave DFT calculation with GGA-PBE was carried out for crystalline Ni2PdPt2 at its relaxed geometry.

```
data_Ni2PdPt2
_chemical_formula_sum 'Ni4 Pd2 Pt4'
_space_group_name_H-M_alt 'P 4/m b m'
_space_group_IT_number 127
_space_group_name_Hall '-P 4 2ab'
_cell_length_a 7.210
_cell_length_b 7.210
_cell_length_c 2.751
_cell_angle_alpha 90.00
_cell_angle_beta 90.00
_cell_angle_gamma 90.00
loop_
_atom_site_label
_atom_site_type_symbol
_atom_site_fract_x
_atom_site_fract_y
_atom_site_fract_z
_atom_site_occupancy
Ni1 Ni 0.120 0.380 0.000 1
Pd1 Pd 0.000 0.000 0.000 1
Pt1 Pt 0.175 0.675 0.500 1
```

Summary:
The calculation puts the calculated formation energy at 0.055 eV per atom. The calculation puts the energy above the most stable polymorph in this dataset at 96 meV/atom. The density of states at the Fermi level comes out at 1.53 states/eV per atom. The value obtained for the density is 14.256 Mg/m³.

Record 9
A plane-wave DFT calculation with GGA-PBE was carried out for crystalline Dy4Se2SN at its relaxed geometry.

```
data_Dy4Se2SN
_chemical_formula_sum 'Dy4 Se2 S1 N1'
_space_group_name_H-M_alt 'P 1 2/m 1'
_space_group_IT_number 10
_cell_length_a 6.687
_cell_length_b 3.813
_cell_length_c 6.909
_cell_angle_alpha 90.00
_cell_angle_beta 108.45
_cell_angle_gamma 90.00
loop_
_space_group_symop_operation_xyz
'x,y,z'
'-x,-y,-z'
'-x,y,-z'
'x,-y,z'
loop_
_atom_site_label
_atom_site_type_symbol
_atom_site_fract_x
_atom_site_fract_y
_atom_site_fract_z
_atom_site_occupancy
Dy1 Dy 0.214 0.000 0.204 1
Dy2 Dy 0.236 0.500 0.789 1
Se1 Se 0.000 0.000 0.500 1
Se2 Se 0.500 0.500 0.500 1
S1 S 0.500 0.000 0.000 1
N1 N 0.000 0.500 0.000 1
```

Summary:
The density of states at the Fermi level comes out at 0.28 states/eV per atom. The value obtained for the density is 8.486 Mg/m³. The value obtained for the raw formation energy is -171.4 kJ per mole of atoms.

Record 10
A plane-wave DFT calculation with GGA-PBE was carried out for crystalline CsTl2IBr4 at its relaxed geometry.

```
data_CsTl2IBr4
_chemical_formula_sum 'Cs4 Tl8 I4 Br16'
_space_group_name_H-M_alt 'C 1 2/c 1'
_space_group_IT_number 15
_cell_length_a 15.295
_cell_length_b 12.784
_cell_length_c 10.018
_cell_angle_alpha 90.00
_cell_angle_beta 130.89
_cell_angle_gamma 90.00
loop_
_space_group_symop_operation_xyz
'x,y,z'
'-x,-y,-z'
'-x,y,-z+1/2'
'x,-y,z+1/2'
'x+1/2,y+1/2,z'
'-x+1/2,-y+1/2,-z'
'-x+1/2,y+1/2,-z+1/2'
'x+1/2,-y+1/2,z+1/2'
loop_
_atom_site_label
_atom_site_type_symbol
_atom_site_fract_x
_atom_site_fract_y
_atom_site_fract_z
_atom_site_occupancy
Cs1 Cs 0.250 0.250 0.000 1
Tl1 Tl 0.000 0.000 0.000 1
Tl2 Tl 0.250 0.250 0.500 1
I1 I 0.000 0.500 0.000 1
Br1 Br 0.001 0.284 0.486 1
Br2 Br 0.179 0.013 0.429 1
```

Summary:
The value obtained for the density is 4.432 Mg/m³. The value obtained for the raw formation energy is -81.4 kJ per mole of atoms.

Record 11
A plane-wave DFT calculation with GGA-PBE was carried out for crystalline BeSb2Ru at its relaxed geometry.

```
data_BeSb2Ru
_chemical_formula_sum 'Be2 Sb4 Ru2'
_space_group_name_H-M_alt 'C 1 2/m 1'
_space_group_IT_number 12
_cell_length_a 7.988
_cell_length_b 3.356
_cell_length_c 5.673
_cell_angle_alpha 90.00
_cell_angle_beta 97.42
_cell_angle_gamma 90.00
loop_
_space_group_symop_operation_xyz
'x,y,z'
'-x,-y,-z'
'-x,y,-z'
'x,-y,z'
'x+1/2,y+1/2,z'
'-x+1/2,-y+1/2,-z'
'-x+1/2,y+1/2,-z'
'x+1/2,-y+1/2,z'
loop_
_atom_site_label
_atom_site_type_symbol
_atom_site_fract_x
_atom_site_fract_y
_atom_site_fract_z
_atom_site_occupancy
Be1 Be 0.000 0.000 0.000 1
Sb1 Sb 0.228 0.000 0.743 1
Ru1 Ru 0.000 0.500 0.500 1
```

Summary:
The calculation puts the energy above the most stable polymorph in this dataset at 427 meV/atom. The density of states at the Fermi level comes out at 0.47 states/eV per atom. The value obtained for the density is 7.786 Mg/m³. The value obtained for the raw formation energy is 34.6 kJ per mole of atoms.

Record 12
A plane-wave DFT calculation with GGA-PBE was carried out for crystalline ZnRe2Pt at its relaxed geometry.

```
data_ZnRe2Pt
_chemical_formula_sum 'Zn2 Re4 Pt2'
_space_group_name_H-M_alt 'C 1 m 1'
_space_group_IT_number 8
_cell_length_a 9.081
_cell_length_b 2.705
_cell_length_c 4.924
_cell_angle_alpha 90.00
_cell_angle_beta 97.62
_cell_angle_gamma 90.00
loop_
_space_group_symop_operation_xyz
'x,y,z'
'x,-y,z'
'x+1/2,y+1/2,z'
'x+1/2,-y+1/2,z'
loop_
_atom_site_label
_atom_site_type_symbol
_atom_site_fract_x
_atom_site_fract_y
_atom_site_fract_z
_atom_site_occupancy
Zn1 Zn 0.000 0.000 0.000 1
Re1 Re 0.245 0.000 0.708 1
Re2 Re 0.491 0.000 0.511 1
Pt1 Pt 0.251 0.500 0.203 1
```

Summary:
The calculation puts the calculated formation energy at 0.052 eV per atom. The density of states at the Fermi level comes out at 0.96 states/eV per atom. The value obtained for the density is 17.535 Mg/m³.

Record 13
A plane-wave DFT calculation with GGA-PBE was carried out for crystalline YZn2Ir at its relaxed geometry.

```
data_YZn2Ir
_chemical_formula_sum 'Y1 Zn2 Ir1'
_space_group_name_H-M_alt 'P 4/m m m'
_space_group_IT_number 123
_space_group_name_Hall '-P 4 2'
_cell_length_a 4.003
_cell_length_b 4.003
_cell_length_c 4.501
_cell_angle_alpha 90.00
_cell_angle_beta 90.00
_cell_angle_gamma 90.00
loop_
_atom_site_label
_atom_site_type_symbol
_atom_site_fract_x
_atom_site_fract_y
_atom_site_fract_z
_atom_site_occupancy
Y1 Y 0.000 0.000 0.000 1
Zn1 Zn 0.000 0.500 0.500 1
Ir1 Ir 0.500 0.500 0.000 1
```

Summary:
The calculation puts the calculated formation energy at -0.312 eV per atom. The density of states at the Fermi level comes out at 0.45 states/eV per atom. The value obtained for the density is 9.485 Mg/m³.

Record 14
A plane-wave DFT calculation with GGA-PBE was carried out for crystalline LaHo6Tm at its relaxed geometry.

```
data_LaHo6Tm
_chemical_formula_sum 'La1 Ho6 Tm1'
_space_group_name_H-M_alt 'P 4/m m m'
_space_group_IT_number 123
_space_group_name_Hall '-P 4 2'
_cell_length_a 5.024
_cell_length_b 5.024
_cell_length_c 10.041
_cell_angle_alpha 90.00
_cell_angle_beta 90.00
_cell_angle_gamma 90.00
loop_
_atom_site_label
_atom_site_type_symbol
_atom_site_fract_x
_atom_site_fract_y
_atom_site_fract_z
_atom_site_occupancy
La1 La 0.000 0.000 0.000 1
Ho1 Ho 0.000 0.500 0.255 1
Ho2 Ho 0.500 0.500 0.000 1
Ho3 Ho 0.500 0.500 0.500 1
Tm1 Tm 0.000 0.000 0.500 1
```

Summary:
The calculation puts the calculated formation energy at 0.032 eV per atom. The calculation puts the energy above the most stable polymorph in this dataset at 0 meV/atom. The density of states at the Fermi level comes out at 1.50 states/eV per atom. The value obtained for the density is 8.502 Mg/m³.

Record 15
A plane-wave DFT calculation with GGA-PBE was carried out for crystalline La2Ge4Pb at its relaxed geometry.

```
data_La2Ge4Pb
_chemical_formula_sum 'La4 Ge8 Pb2'
_space_group_name_H-M_alt 'I 4/m m m'
_space_group_IT_number 139
_space_group_name_Hall '-I 4 2'
_cell_length_a 5.317
_cell_length_b 5.317
_cell_length_c 15.211
_cell_angle_alpha 90.00
_cell_angle_beta 90.00
_cell_angle_gamma 90.00
loop_
_atom_site_label
_atom_site_type_symbol
_atom_site_fract_x
_atom_site_fract_y
_atom_site_fract_z
_atom_site_occupancy
La1 La 0.000 0.000 0.124 1
Ge1 Ge 0.000 0.000 0.321 1
Ge2 Ge 0.000 0.500 0.000 1
Pb1 Pb 0.000 0.000 0.500 1
```

Summary:
The calculation puts the calculated formation energy at 0.152 eV per atom. The density of states at the Fermi level comes out at 0.90 states/eV per atom. The value obtained for the density is 5.989 Mg/m³.